Compound: ScCr2GeO6
Source: the Alexandria database
Functional: PBE with a Hubbard U
Structure: optimized geometry

```
ScCr2GeO6
1.0
-2.998 -3.815 -1.599
1.140 -4.908 1.312
-3.142 -2.649 3.921
O Ge Cr Sc
6 1 2 1
Cartesian
-2.870 -7.125 3.379
-2.289 -4.504 3.334
-0.286 -6.105 1.832
-4.377 -5.334 1.994
-2.315 -3.844 0.197
-2.917 -7.161 0.158
-0.703 -2.903 0.077
-2.327 -5.716 1.520
-3.059 -2.651 3.777
-3.276 -8.610 2.059
```

## Properties
Electronic total energy: -77.3 eV/cell
Volume: 11.0 A^3/atom


Compound: SmCrGeO5
Source: the Alexandria database
Functional: PBE with a Hubbard U
Structure: optimized geometry

```
SmCrGeO5
1.0
-3.344 0.336 4.779
6.025 -1.305 4.308
1.504 8.454 0.457
O Sm Cr Ge
20 4 4 4
Cartesian
5.657 4.988 5.361
-0.701 0.071 1.001
1.038 6.344 5.668
0.166 4.632 3.361
0.416 0.188 3.849
5.383 6.957 3.277
5.686 2.502 3.802
2.146 0.192 1.488
2.740 6.173 3.236
-2.643 0.266 3.777
3.769 7.298 5.695
-1.472 2.498 4.183
3.955 5.159 7.793
4.019 2.854 6.183
1.121 3.841 6.160
0.230 2.327 1.751
3.064 3.645 3.384
1.446 1.312 6.308
1.843 4.647 0.963
3.148 1.141 3.876
0.432 6.965 3.383
3.754 0.521 6.161
0.970 2.458 4.077
3.215 5.027 5.467
0.497 -0.399 5.749
2.184 -0.569 3.338
-1.763 4.480 3.824
-0.076 4.310 1.412
4.242 2.215 2.812
6.621 6.090 4.204
0.908 1.059 0.561
3.287 4.934 1.953
```

## Properties
Electronic total energy: -243.1 eV/cell
Volume: 11.8 A^3/atom


Question: Among the records above, which one has the highest electronic total energy?
Answer: ScCr2GeO6